Record 1
RbGe5Pd3 (PBE, optimized geometry); final energy = -40.2 eV per cell
1.0
5.4079 0.0000 0.0000
-2.7040 4.6834 0.0000
0.0000 0.0000 8.3851
Rb Ge Pd
1 5 3
direct
0.0000 0.0000 0.0000
0.0000 0.0000 0.5000
0.3333 0.6667 0.2455
0.3333 0.6667 0.7545
0.6667 0.3333 0.2455
0.6667 0.3333 0.7545
0.0000 0.5000 0.5000
0.5000 0.0000 0.5000
0.5000 0.5000 0.5000

Record 2
ReGePd (PBE, optimized geometry); final energy = -21.2 eV per cell; magnetization = 0.00 μB/cell
1.0
0.0000 2.9278 2.9278
2.9278 0.0000 2.9278
2.9278 2.9278 0.0000
Re Ge Pd
1 1 1
direct
0.0000 0.0000 0.0000
0.7500 0.7500 0.7500
0.5000 0.5000 0.5000

Record 3
ReGePd2 (PBE, optimized geometry); final energy = -26.9 eV per cell; magnetization = 0.03 μB/cell
1.0
0.0000 3.1089 3.1089
3.1089 0.0000 3.1089
3.1089 3.1089 0.0000
Re Ge Pd
1 1 2
direct
0.0000 0.0000 0.0000
0.7500 0.7500 0.7500
0.2500 0.2500 0.2500
0.5000 0.5000 0.5000

Record 4
GePd4S8 (PBE, optimized geometry); final energy = -60.1 eV per cell
1.0
0.0000 5.0983 5.0983
5.0983 0.0000 5.0983
5.0983 5.0983 0.0000
Ge Pd S
1 4 8
direct
0.0000 0.0000 0.0000
0.1397 0.6201 0.6201
0.6201 0.1397 0.6201
0.6201 0.6201 0.1397
0.6201 0.6201 0.6201
0.3846 0.3846 0.3846
0.3846 0.3846 0.8462
0.3846 0.8462 0.3846
0.4145 0.8618 0.8618
0.8462 0.3846 0.3846
0.8618 0.4145 0.8618
0.8618 0.8618 0.4145
0.8618 0.8618 0.8618

Record 5
Ge4Pd3S (PBE, optimized geometry); final energy = -39.9 eV per cell
1.0
6.4783 0.0000 0.0000
0.0000 3.2851 0.0000
-0.1879 0.0000 6.6450
Ge Pd S
4 3 1
direct
0.0000 0.0000 0.0000
0.1150 0.5000 0.5062
0.5158 0.0000 0.6722
0.6387 0.5000 0.1044
0.2928 0.5000 0.8644
0.8162 0.0000 0.3558
0.8156 0.5000 0.7407
0.3329 0.0000 0.3559

Record 6
GePdS3 (PBE, optimized geometry); final energy = -93.8 eV per cell
1.0
8.9264 0.0000 0.0000
0.0000 7.9106 0.0000
-0.3560 0.0000 6.6620
Ge Pd S
4 4 12
direct
0.2119 0.1866 0.0117
0.2119 0.3134 0.5117
0.7881 0.6866 0.4883
0.7881 0.8134 0.9883
0.4523 0.6072 0.2273
0.4523 0.8928 0.7273
0.5477 0.1072 0.2727
0.5477 0.3928 0.7727
0.0646 0.1890 0.2742
0.0646 0.3110 0.7742
0.2868 0.5769 0.4829
0.2868 0.9231 0.9829
0.4344 0.1642 0.5812
0.4344 0.3358 0.0812
0.5656 0.6642 0.9188
0.5656 0.8358 0.4188
0.7132 0.0769 0.0171
0.7132 0.4231 0.5171
0.9354 0.6890 0.2258
0.9354 0.8110 0.7258

Record 7
Ge4PdS3 (PBE, optimized geometry); final energy = -37.3 eV per cell
1.0
7.0711 0.0000 0.0000
0.0000 3.4299 0.0000
-0.3021 0.0000 7.2384
Ge Pd S
4 1 3
direct
0.0000 0.0000 0.0000
0.1004 0.5000 0.5374
0.5227 0.0000 0.4377
0.6437 0.5000 0.8653
0.8196 0.0000 0.6784
0.2954 0.0000 0.6842
0.3394 0.5000 0.2827
0.8181 0.5000 0.1497

Record 8
GePdSeS2 (PBE, optimized geometry); final energy = -46.5 eV per cell
1.0
7.5754 -1.7727 0.0000
7.5754 1.7727 0.0000
-2.7576 0.0000 9.0133
Ge Pd Se S
2 2 2 4
direct
0.0882 0.0882 0.3058
0.9118 0.9118 0.6942
0.3867 0.3867 0.0215
0.6133 0.6133 0.9785
0.0785 0.0785 0.7901
0.9215 0.9215 0.2099
0.1732 0.1732 0.1452
0.3707 0.3707 0.5385
0.6293 0.6293 0.4615
0.8268 0.8268 0.8548

Record 9
GeTePdS2 (PBE, optimized geometry); final energy = -45.2 eV per cell
1.0
7.7770 -1.8055 0.0000
7.7770 1.8055 0.0000
-2.7113 0.0000 9.3289
Ge Te Pd S
2 2 2 4
direct
0.0923 0.0923 0.3072
0.9077 0.9077 0.6928
0.0850 0.0850 0.7884
0.9150 0.9150 0.2116
0.3833 0.3833 0.0124
0.6167 0.6167 0.9876
0.1739 0.1739 0.1497
0.3681 0.3681 0.5433
0.6319 0.6319 0.4567
0.8261 0.8261 0.8503

Record 10
Ge3Sb2Pd2 (PBE, optimized geometry); final energy = -33.0 eV per cell
1.0
2.2517 1.3000 8.3230
-2.2517 1.3000 8.3230
0.0000 -2.6000 8.3230
Ge Sb Pd
3 2 2
direct
0.0000 0.0000 0.0000
0.2632 0.2632 0.2632
0.5404 0.5404 0.5404
0.1407 0.1407 0.1407
0.7184 0.7184 0.7184
0.4337 0.4337 0.4337
0.9017 0.9017 0.9017

Record 11
Ge2SbPd2 (PBE, optimized geometry); final energy = -24.5 eV per cell
1.0
-2.2009 2.2009 4.9538
2.2009 -2.2009 4.9538
2.2009 2.2009 -4.9538
Ge Sb Pd
2 1 2
direct
0.1234 0.1234 0.0000
0.8766 0.8766 0.0000
0.5000 0.5000 0.0000
0.2500 0.7500 0.5000
0.7500 0.2500 0.5000

Record 12
Ge2Sb2Pd3 (PBE, optimized geometry); final energy = -34.5 eV per cell
1.0
2.2823 1.3177 7.6318
-2.2823 1.3177 7.6318
0.0000 -2.6354 7.6318
Ge Sb Pd
2 2 3
direct
0.0000 0.0000 0.0000
0.4924 0.4924 0.4924
0.2513 0.2513 0.2513
0.7434 0.7434 0.7434
0.1225 0.1225 0.1225
0.6229 0.6229 0.6229
0.8702 0.8702 0.8702